(1)
A plane-wave DFT calculation with PBE was carried out for a relaxed structure of Nd2Dy2CI2Cl3.

Cell and atoms, written as extended XYZ:
```
10
Lattice="9.283 -1.956 0.000 9.283 1.956 0.000 -1.525 0.000 7.997" Properties=species:S:1:pos:R:3 pbc="T T T"
Nd -0.410 0.000 2.290
Nd 17.452 0.000 5.707
Dy 6.165 0.000 3.459
Dy 10.877 0.000 4.539
C 8.521 0.000 3.999
I 2.810 0.000 2.472
I 14.232 0.000 5.525
Cl 1.641 0.000 6.451
Cl 9.283 0.000 0.000
Cl 15.401 0.000 1.546
```

uncorrected energy	-51.14	eV/cell

=====

(2)
A plane-wave DFT calculation with PBE was carried out for a relaxed structure of Nd2Dy2CI2Cl3.

Cell and atoms, written as extended XYZ:
```
10
Lattice="9.286 -1.922 0.000 9.286 1.922 0.000 -1.427 0.000 7.889" Properties=species:S:1:pos:R:3 pbc="T T T"
Nd 2.452 0.000 0.577
Nd 14.694 0.000 7.311
Dy 8.937 0.000 1.623
Dy 8.209 0.000 6.265
C 0.000 0.000 0.000
I 5.776 0.000 1.695
I 11.370 0.000 6.193
Cl -0.714 0.000 3.944
Cl 5.692 0.000 5.265
Cl 11.454 0.000 2.623
```

uncorrected energy	-51.06	eV/cell

=====

(3)
A plane-wave DFT calculation with PBE was carried out for a relaxed structure of Nd2Dy2CICl4.

Cell and atoms, written as extended XYZ:
```
10
Lattice="8.738 -1.927 0.000 8.738 1.927 0.000 -2.310 0.000 8.118" Properties=species:S:1:pos:R:3 pbc="T T T"
Nd 2.392 0.000 0.712
Nd 12.773 0.000 7.406
Dy 8.287 0.000 1.565
Dy 6.878 0.000 6.553
C 0.000 0.000 0.000
I -1.155 0.000 4.059
Cl 5.489 0.000 1.246
Cl 4.391 0.000 5.380
Cl 10.774 0.000 2.738
Cl 9.676 0.000 6.872
```

uncorrected energy	-52.63	eV/cell

=====

(4)
A plane-wave DFT calculation with PBE was carried out for a relaxed structure of Nd2Dy2CI4Cl.

Cell and atoms, written as extended XYZ:
```
10
Lattice="9.566 -1.969 0.000 9.566 1.969 0.000 -1.906 0.000 8.215" Properties=species:S:1:pos:R:3 pbc="T T T"
Nd 2.447 0.000 0.601
Nd 14.780 0.000 7.613
Dy 9.166 0.000 1.633
Dy 8.061 0.000 6.582
C 0.000 0.000 0.000
I 6.009 0.000 1.585
I 5.299 0.000 5.204
I 11.928 0.000 3.010
I 11.218 0.000 6.630
Cl -0.953 0.000 4.107
```

uncorrected energy	-47.75	eV/cell

=====

(5)
A plane-wave DFT calculation with PBE was carried out for a relaxed structure of Nd2Dy2CI2Cl3.

Cell and atoms, written as extended XYZ:
```
10
Lattice="9.003 -1.935 0.000 9.003 1.935 0.000 -1.615 0.000 7.928" Properties=species:S:1:pos:R:3 pbc="T T T"
Nd 2.450 0.000 0.555
Nd 13.941 0.000 7.374
Dy 8.596 0.000 1.613
Dy 7.794 0.000 6.315
C 0.000 0.000 0.000
I 5.047 0.000 4.953
I 11.343 0.000 2.975
Cl -0.807 0.000 3.964
Cl 5.759 0.000 1.386
Cl 10.631 0.000 6.543
```

uncorrected energy	-50.76	eV/cell

=====

(6)
A plane-wave DFT calculation with PBE was carried out for a relaxed structure of Nd2Dy2CI4Cl.

Cell and atoms, written as extended XYZ:
```
10
Lattice="9.736 -1.987 0.000 9.736 1.987 0.000 -1.728 0.000 8.154" Properties=species:S:1:pos:R:3 pbc="T T T"
Nd -0.468 0.000 2.365
Nd 18.211 0.000 5.789
Dy 6.520 0.000 3.531
Dy 11.223 0.000 4.623
C 8.872 0.000 4.077
I 1.729 0.000 6.923
I 2.761 0.000 2.657
I 14.982 0.000 5.497
I 16.014 0.000 1.231
Cl 9.736 0.000 0.000
```

uncorrected energy	-48.10	eV/cell

=====

(7)
A plane-wave DFT calculation with PBE was carried out for a relaxed structure of Pr2Dy2CI2Cl3.

Cell and atoms, written as extended XYZ:
```
10
Lattice="9.026 -1.942 0.000 9.026 1.942 0.000 -1.558 0.000 7.960" Properties=species:S:1:pos:R:3 pbc="T T T"
Pr 2.474 0.000 0.509
Pr 14.020 0.000 7.452
Dy 8.647 0.000 1.627
Dy 7.847 0.000 6.333
C 0.000 0.000 0.000
I 5.082 0.000 5.010
I 11.412 0.000 2.950
Cl -0.779 0.000 3.980
Cl 5.827 0.000 1.475
Cl 10.667 0.000 6.486
```

uncorrected energy	-50.72	eV/cell

=====

(8)
A plane-wave DFT calculation with PBE was carried out for a relaxed structure of Pr2Dy2CI2Cl3.

Cell and atoms, written as extended XYZ:
```
10
Lattice="9.333 -1.931 0.000 9.333 1.931 0.000 -1.580 0.000 7.906" Properties=species:S:1:pos:R:3 pbc="T T T"
Pr 2.473 0.000 0.606
Pr 14.613 0.000 7.300
Dy 8.972 0.000 1.627
Dy 8.114 0.000 6.279
C 0.000 0.000 0.000
I 5.815 0.000 1.690
I 11.271 0.000 6.217
Cl -0.790 0.000 3.953
Cl 5.601 0.000 5.238
Cl 11.484 0.000 2.668
```

uncorrected energy	-51.02	eV/cell

=====

(9)
A plane-wave DFT calculation with PBE was carried out for a relaxed structure of Pr2Dy2CI3Cl2.

Cell and atoms, written as extended XYZ:
```
10
Lattice="8.921 -1.996 0.000 8.921 1.996 0.000 -2.001 0.000 8.801" Properties=species:S:1:pos:R:3 pbc="T T T"
Pr -0.559 0.000 2.695
Pr 16.399 0.000 6.106
Dy 5.574 0.000 3.846
Dy 10.267 0.000 4.954
C 7.920 0.000 4.400
I 1.548 0.000 7.253
I 8.921 0.000 0.000
I 14.292 0.000 1.547
Cl 2.329 0.000 3.303
Cl 13.512 0.000 5.497
```

uncorrected energy	-49.67	eV/cell

=====

(10)
A plane-wave DFT calculation with PBE was carried out for a relaxed structure of Pr2Dy2CI3Cl2.

Cell and atoms, written as extended XYZ:
```
10
Lattice="9.337 -1.969 0.000 9.337 1.969 0.000 -1.677 0.000 8.337" Properties=species:S:1:pos:R:3 pbc="T T T"
Pr 2.468 0.000 0.613
Pr 14.528 0.000 7.724
Dy 8.983 0.000 1.590
Dy 8.013 0.000 6.747
C 0.000 0.000 0.000
I -0.839 0.000 4.168
I 5.821 0.000 1.689
I 11.175 0.000 6.648
Cl 5.501 0.000 5.675
Cl 11.495 0.000 2.662
```

uncorrected energy	-49.70	eV/cell

=====

(11)
A plane-wave DFT calculation with PBE was carried out for a relaxed structure of Pr2Dy2CI3Cl2.

Cell and atoms, written as extended XYZ:
```
10
Lattice="8.992 -1.981 0.000 8.992 1.981 0.000 -1.922 0.000 8.371" Properties=species:S:1:pos:R:3 pbc="T T T"
Pr 2.465 0.000 0.547
Pr 13.598 0.000 7.823
Dy 8.593 0.000 1.586
Dy 7.469 0.000 6.784
C 0.000 0.000 0.000
I -0.961 0.000 4.185
I 4.716 0.000 5.394
I 11.346 0.000 2.976
Cl 5.763 0.000 1.415
Cl 10.299 0.000 6.956
```

uncorrected energy	-49.48	eV/cell

=====

(12)
A plane-wave DFT calculation with PBE was carried out for a relaxed structure of Pr2Dy2CICl4.

Cell and atoms, written as extended XYZ:
```
10
Lattice="8.644 -1.954 0.000 8.644 1.954 0.000 -2.090 0.000 8.721" Properties=species:S:1:pos:R:3 pbc="T T T"
Pr -0.615 0.000 2.655
Pr 15.813 0.000 6.066
Dy 5.280 0.000 3.747
Dy 9.918 0.000 4.973
C 7.599 0.000 4.360
I 8.644 0.000 0.000
Cl 1.303 0.000 6.855
Cl 2.252 0.000 3.270
Cl 12.946 0.000 5.450
Cl 13.895 0.000 1.866
```

uncorrected energy	-52.68	eV/cell

=====

(13)
A plane-wave DFT calculation with PBE was carried out for a relaxed structure of Pr2Dy2CI2Cl3.

Cell and atoms, written as extended XYZ:
```
10
Lattice="9.170 -1.965 0.000 9.170 1.965 0.000 -1.427 0.000 8.164" Properties=species:S:1:pos:R:3 pbc="T T T"
Pr -0.322 0.000 2.349
Pr 17.234 0.000 5.815
Dy 6.106 0.000 3.607
Dy 10.806 0.000 4.557
C 8.456 0.000 4.082
I 1.924 0.000 6.860
I 14.988 0.000 1.304
Cl 2.597 0.000 2.882
Cl 9.170 0.000 0.000
Cl 14.316 0.000 5.283
```

uncorrected energy	-50.98	eV/cell

=====

(14)
A plane-wave DFT calculation with PBE was carried out for a relaxed structure of Pr2Dy2CICl4.

Cell and atoms, written as extended XYZ:
```
10
Lattice="8.756 -1.929 0.000 8.756 1.929 0.000 -2.322 0.000 8.161" Properties=species:S:1:pos:R:3 pbc="T T T"
Pr 2.424 0.000 0.704
Pr 12.765 0.000 7.457
Dy 8.311 0.000 1.571
Dy 6.878 0.000 6.590
C 0.000 0.000 0.000
I -1.161 0.000 4.081
Cl 5.509 0.000 1.300
Cl 4.401 0.000 5.408
Cl 10.788 0.000 2.753
Cl 9.680 0.000 6.861
```

uncorrected energy	-52.60	eV/cell

=====

(15)
A plane-wave DFT calculation with PBE was carried out for a relaxed structure of Pr2Dy2CI3Cl2.

Cell and atoms, written as extended XYZ:
```
10
Lattice="9.357 -1.992 0.000 9.357 1.992 0.000 -1.702 0.000 8.734" Properties=species:S:1:pos:R:3 pbc="T T T"
Pr 18.374 0.000 1.716
Pr -1.361 0.000 7.017
Dy 5.300 0.000 8.204
Dy 11.713 0.000 0.530
C 9.357 0.000 0.000
I 1.887 0.000 7.238
I 8.506 0.000 4.367
I 15.126 0.000 1.496
Cl 2.448 0.000 2.404
Cl 14.565 0.000 6.329
```

uncorrected energy	-49.72	eV/cell

=====

(16)
A plane-wave DFT calculation with PBE was carried out for a relaxed structure of Pr2Dy2CI2Cl3.

Cell and atoms, written as extended XYZ:
```
10
Lattice="9.369 -1.965 0.000 9.369 1.965 0.000 -1.575 0.000 8.075" Properties=species:S:1:pos:R:3 pbc="T T T"
Pr -0.436 0.000 2.306
Pr 17.599 0.000 5.769
Dy 6.223 0.000 3.511
Dy 10.939 0.000 4.564
C 8.581 0.000 4.037
I 2.803 0.000 2.515
I 14.360 0.000 5.560
Cl 1.655 0.000 6.456
Cl 9.369 0.000 0.000
Cl 15.508 0.000 1.619
```

uncorrected energy	-51.12	eV/cell

=====

(17)
A plane-wave DFT calculation with PBE was carried out for a relaxed structure of Dy2Sc2CI2Cl3.

Cell and atoms, written as extended XYZ:
```
10
Lattice="9.638 -1.860 0.000 9.638 1.860 0.000 -1.251 0.000 7.676" Properties=species:S:1:pos:R:3 pbc="T T T"
Dy -0.295 0.000 2.229
Dy 18.320 0.000 5.448
Sc 6.843 0.000 3.329
Sc 11.182 0.000 4.347
C 9.013 0.000 3.838
I 2.809 0.000 2.480
I 15.216 0.000 5.196
Cl 1.686 0.000 6.164
Cl 9.638 0.000 0.000
Cl 16.339 0.000 1.512
```

uncorrected energy	-54.12	eV/cell

=====

(18)
A plane-wave DFT calculation with PBE was carried out for a relaxed structure of Dy2Sc2CI2Cl3.

Cell and atoms, written as extended XYZ:
```
10
Lattice="8.943 -1.859 0.000 8.943 1.859 0.000 -1.308 0.000 7.540" Properties=species:S:1:pos:R:3 pbc="T T T"
Dy 2.300 0.000 0.517
Dy 14.277 0.000 7.023
Sc 8.648 0.000 1.478
Sc 7.929 0.000 6.062
C 0.000 0.000 0.000
I 5.579 0.000 1.618
I 10.998 0.000 5.922
Cl -0.654 0.000 3.770
Cl 5.505 0.000 5.100
Cl 11.072 0.000 2.440
```

uncorrected energy	-53.66	eV/cell

=====

(19)
A plane-wave DFT calculation with PBE was carried out for a relaxed structure of Dy2Sc2CI2Cl3.

Cell and atoms, written as extended XYZ:
```
10
Lattice="9.706 -1.867 0.000 9.706 1.867 0.000 -1.489 0.000 7.488" Properties=species:S:1:pos:R:3 pbc="T T T"
Dy 2.295 0.000 0.348
Dy 15.627 0.000 7.140
Sc 8.474 0.000 5.994
Sc 9.448 0.000 1.493
C 0.000 0.000 0.000
I 5.640 0.000 4.824
I 12.282 0.000 2.664
Cl -0.745 0.000 3.744
Cl 6.746 0.000 1.464
Cl 11.176 0.000 6.024
```

uncorrected energy	-53.42	eV/cell

=====

(20)
A plane-wave DFT calculation with PBE was carried out for a relaxed structure of Sm2Dy2CICl4.

Cell and atoms, written as extended XYZ:
```
10
Lattice="8.587 -1.934 0.000 8.587 1.934 0.000 -2.201 0.000 8.424" Properties=species:S:1:pos:R:3 pbc="T T T"
Sm -0.426 0.000 1.638
Sm 15.399 0.000 6.786
Dy 4.080 0.000 7.796
Dy 10.893 0.000 0.628
C 8.587 0.000 0.000
I 7.487 0.000 4.212
Cl 2.261 0.000 2.534
Cl 1.053 0.000 7.313
Cl 13.920 0.000 1.111
Cl 12.712 0.000 5.889
```

uncorrected energy	-52.64	eV/cell

=====

(21)
A plane-wave DFT calculation with PBE was carried out for a relaxed structure of Sm2Dy2CICl4.

Cell and atoms, written as extended XYZ:
```
10
Lattice="8.651 -1.918 0.000 8.651 1.918 0.000 -2.239 0.000 8.147" Properties=species:S:1:pos:R:3 pbc="T T T"
Sm 2.356 0.000 0.685
Sm 12.707 0.000 7.462
Dy 8.213 0.000 1.565
Dy 6.851 0.000 6.582
C 0.000 0.000 0.000
I -1.120 0.000 4.074
Cl 5.419 0.000 1.211
Cl 4.327 0.000 5.469
Cl 10.736 0.000 2.678
Cl 9.644 0.000 6.936
```

uncorrected energy	-52.58	eV/cell

=====

(22)
A plane-wave DFT calculation with PBE was carried out for a relaxed structure of Dy2Y2CI2Cl3.

Cell and atoms, written as extended XYZ:
```
10
Lattice="9.149 -1.913 0.000 9.149 1.913 0.000 -1.419 0.000 7.803" Properties=species:S:1:pos:R:3 pbc="T T T"
Dy -0.368 0.000 2.286
Dy 17.246 0.000 5.517
Y 6.096 0.000 3.464
Y 10.783 0.000 4.340
C 8.439 0.000 3.902
I 1.829 0.000 6.670
I 15.050 0.000 1.133
Cl 2.467 0.000 2.561
Cl 9.149 0.000 0.000
Cl 14.411 0.000 5.242
```

uncorrected energy	-54.29	eV/cell